Computed, not measured: crystalline MgCdFeO2 at its relaxed geometry at the GGA+U level of DFT.

Structure (CIF):
```
data_MgCdFeO2
_chemical_formula_sum 'Mg1 Cd1 Fe1 O2'
_symmetry_space_group_name_H-M 'P 4/m m m'
_symmetry_Int_Tables_number 123
_symmetry_space_group_name_Hall '-P 4 2'
_cell_length_a 4.152
_cell_length_b 4.152
_cell_length_c 5.390
_cell_angle_alpha 90.00
_cell_angle_beta 90.00
_cell_angle_gamma 90.00
loop_
_atom_site_label
_atom_site_type_symbol
_atom_site_fract_x
_atom_site_fract_y
_atom_site_fract_z
Mg1 Mg 0.000 0.000 0.000
Cd1 Cd 0.000 0.000 0.500
Fe1 Fe 0.500 0.500 0.000
O1 O 0.000 0.500 0.500
```

Values from the calculation:
Energy in eV for the cell shown: -15.1

***

Computed, not measured: crystalline Mg6CdFeO8 at its relaxed geometry at the GGA+U level of DFT.

Structure (CIF):
```
data_Mg6CdFeO8
_chemical_formula_sum 'Mg6 Cd1 Fe1 O8'
_symmetry_space_group_name_H-M 'P 4/m m m'
_symmetry_Int_Tables_number 123
_symmetry_space_group_name_Hall '-P 4 2'
_cell_length_a 4.359
_cell_length_b 4.359
_cell_length_c 8.757
_cell_angle_alpha 90.00
_cell_angle_beta 90.00
_cell_angle_gamma 90.00
loop_
_atom_site_label
_atom_site_type_symbol
_atom_site_fract_x
_atom_site_fract_y
_atom_site_fract_z
Mg1 Mg 0.000 0.000 0.000
Mg2 Mg 0.000 0.500 0.242
Mg3 Mg 0.500 0.500 0.000
Cd1 Cd 0.000 0.000 0.500
Fe1 Fe 0.500 0.500 0.500
O1 O 0.000 0.000 0.233
O2 O 0.000 0.500 0.000
O3 O 0.000 0.500 0.500
O4 O 0.500 0.500 0.243
```

Values from the calculation:
Relative energy among the computed polymorphs in kJ/mol of atoms: 5.4

***

Computed, not measured: crystalline MgCd2FeO at its relaxed geometry at the GGA+U level of DFT.

Structure (CIF):
```
data_MgCd2FeO
_chemical_formula_sum 'Mg1 Cd2 Fe1 O1'
_symmetry_space_group_name_H-M 'P 4/m m m'
_symmetry_Int_Tables_number 123
_symmetry_space_group_name_Hall '-P 4 2'
_cell_length_a 5.585
_cell_length_b 5.585
_cell_length_c 3.596
_cell_angle_alpha 90.00
_cell_angle_beta 90.00
_cell_angle_gamma 90.00
loop_
_atom_site_label
_atom_site_type_symbol
_atom_site_fract_x
_atom_site_fract_y
_atom_site_fract_z
Mg1 Mg 0.000 0.000 0.000
Cd1 Cd 0.000 0.500 0.500
Fe1 Fe 0.500 0.500 0.500
O1 O 0.500 0.500 0.000
```

Values from the calculation:
Energy in eV for the cell shown: -14.7

***

Computed, not measured: crystalline Mg6CdFeO8 at its relaxed geometry at the GGA+U level of DFT.

Structure (CIF):
```
data_Mg6CdFeO8
_chemical_formula_sum 'Mg6 Cd1 Fe1 O8'
_symmetry_space_group_name_H-M 'P 4/m m m'
_symmetry_Int_Tables_number 123
_symmetry_space_group_name_Hall '-P 4 2'
_cell_length_a 4.388
_cell_length_b 4.388
_cell_length_c 8.686
_cell_angle_alpha 90.00
_cell_angle_beta 90.00
_cell_angle_gamma 90.00
loop_
_atom_site_label
_atom_site_type_symbol
_atom_site_fract_x
_atom_site_fract_y
_atom_site_fract_z
Mg1 Mg 0.000 0.000 0.000
Mg2 Mg 0.000 0.000 0.500
Mg3 Mg 0.000 0.500 0.244
Cd1 Cd 0.500 0.500 0.500
Fe1 Fe 0.500 0.500 0.000
O1 O 0.000 0.000 0.251
O2 O 0.000 0.500 0.000
O3 O 0.000 0.500 0.500
O4 O 0.500 0.500 0.236
```

Values from the calculation:
Relative energy among the computed polymorphs in kJ/mol of atoms: 0.0